<i>
A geometry-optimized MnRe2Br structure. Source: the Alexandria database, functional PBE-GGA.

Lattice parameters (Å, degrees): 3.2450 3.0482 6.9659 90.00 90.00 90.00
Closest atoms and distances in Å follow each position.
Element x y z (fractional)
Re 0.0000 0.2500 0.5729  1 Re 2.47, 4 Mn 2.55
Re 0.0000 0.2500 0.9271  1 Re 2.47, 4 Mn 2.55
Br 0.5000 0.2500 0.2500  4 Re 2.77, 2 Br 3.05
Mn 0.5000 0.7500 0.7500  8 Re 2.55

Computed properties:
SG: Pmmm, No. 47
Crystal system: orthorhombic



<ii>
A geometry-optimized MnRe2Br structure. Source: the Alexandria database, functional PBE-GGA.

Lattice parameters (Å, degrees): 5.3877 5.3877 4.2841 83.68 83.68 31.60
Closest atoms and distances in Å follow each position.
Element x y z (fractional)
Mn 0.2500 0.2500 0.2500  4 Br 2.60, 4 Re 2.69
Br 0.7500 0.7500 0.7500  4 Mn 2.60, 2 Re 2.61
Re 0.9595 0.9595 0.0363  2 Re 2.56, 1 Br 2.61, 2 Mn 2.69
Re 0.5405 0.5405 0.4637  2 Re 2.56, 1 Br 2.61, 2 Mn 2.69

Computed properties:
SG: C2/m, No. 12
Crystal system: monoclinic



<iii>
A geometry-optimized MnRe2Br structure. Source: the Alexandria database, functional PBE-GGA.

Lattice parameters (Å, degrees): 9.1312 9.1312 9.1312 17.76 17.76 17.76
Closest atoms and distances in Å follow each position.
Element x y z (fractional)
Mn 0.9175 0.9175 0.9175  6 Re 2.55-2.60, 6 Mn 2.82
Re 0.3261 0.3261 0.3261  3 Mn 2.60, 6 Re 2.82, 3 Br 2.82
Re 0.5113 0.5113 0.5113  3 Mn 2.55, 6 Re 2.82
Br 0.7451 0.7451 0.7451  6 Br 2.82, 6 Re 2.82-3.14

Computed properties:
SG: R3m, No. 160
Crystal system: trigonal



Stability, descending: <i>, <ii>, <iii>